DFT (GGA+U) results for a geometry-optimized MnHgAuF6 structure.

Lattice parameters (Å, degrees): 5.8453 5.8453 9.3417 90.00 90.00 120.00
Space group P-31c (No. 163)
One atom of each set of equivalent atoms:
Mn 0.3333 0.6667 0.2500 [2 per cell]
Hg 0.3333 0.6667 0.7500 [2 per cell]
Au 0.0000 0.0000 0.0000 [2 per cell]
F 0.0375 0.3634 0.1315 [12 per cell]

Summary:
Magnetization in μB per atom: 0.444
V in Å³/f.u.: 138
Total energy in eV per atom: -4.057
N(E_F) in states/eV/f.u.: 2.77

DFT (GGA+U) results for a geometry-optimized HgMoAu2F structure.

Lattice parameters (Å, degrees): 5.3040 5.3040 4.4471 90.00 90.00 90.00
Space group P4/mmm (No. 123)
One atom of each set of equivalent atoms:
Hg 0.0000 0.0000 0.0000 [1 per cell]
Mo 0.5000 0.5000 0.5000 [1 per cell]
Au 0.0000 0.5000 0.0000 [2 per cell]
F 0.0000 0.0000 0.5000 [1 per cell]

Summary:
Magnetization in μB per atom: 0.946
V in Å³/f.u.: 125
Total energy in eV per atom: -2.778
N(E_F) in states/eV/f.u.: 1.33